No. 1
Density functional theory data (PBE) for a relaxed MgZr2Pb crystal.

Summary:
ρ (g/cm³): 7.33

a b c (Å): 5.0991 5.0991 5.0991
angles (deg): 60.00 60.00 60.00
Positions (direct):
Mg 0.0000 0.0000 0.0000
Zr 0.5000 0.5000 0.5000
Zr 0.7500 0.7500 0.7500
Pb 0.2500 0.2500 0.2500

=====

No. 2
Density functional theory data (PBE) for a relaxed AlCuRe4 crystal.

Summary:
ρ (g/cm³): 14.26

a b c (Å): 5.1623 5.1623 5.1623
angles (deg): 60.00 60.00 60.00
Positions (direct):
Al 0.0000 0.0000 0.0000
Cu 0.7500 0.7500 0.7500
Re 0.3754 0.3754 0.3754
Re 0.3754 0.3754 0.8738
Re 0.3754 0.8738 0.3754
Re 0.8738 0.3754 0.3754

=====

no.,total energy (eV/cell)
1,-21.45
2,-54.48